Below is a relaxed AlGa2Cu crystal, with properties calculated at the PBE level.

```
4
Lattice="-0.5949 2.9509 -2.5188 -3.9351 -0.8025 -0.0108 -0.5232 2.5235 3.0801" Properties=species:S:1:pos:R:3 pbc="T T T"
Al -2.5266 2.3360 0.2752
Ga -1.9675 -0.4013 -0.0054
Ga -0.2616 1.2618 1.5400
Cu -0.2974 1.4755 -1.2594
```

Computed properties:
**Formation energy**: 40.6 meV/atom
**SG**: P4/mmm
**E_tot**: -13.730 eV for the cell shown

Below is a relaxed NaTlS2 crystal, with properties calculated at the PBE level.

```
8
Lattice="5.7361 0.0145 0.0028 -1.5872 3.9235 -0.0034 0.7563 -1.9111 9.7434" Properties=species:S:1:pos:R:3 pbc="T T T"
S -0.0254 1.2288 4.7563
S 4.1811 1.4202 6.2288
S 2.0869 3.1463 0.2268
S 1.3102 1.4130 8.5038
Tl 3.2006 2.5830 3.7495
Tl 1.1701 0.5622 1.2439
Na 4.7817 -0.3152 8.4094
Na 1.9122 -0.3186 6.3219
```

Computed properties:
**SG**: P1
**Uncorrected formation energy**: -521 meV per atom
**E_tot**: -28.045 eV for the cell shown

Below is a relaxed RePtN crystal, with properties calculated at the PBE level.

```
12
Lattice="-0.1941 2.6731 0.6536 -2.8016 0.4827 -2.8063 -12.0164 -3.6523 11.3681" Properties=species:S:1:pos:R:3 pbc="T T T"
N -8.3062 -1.1586 8.0930
N -7.4155 -0.8879 7.2504
N -3.6988 0.9089 1.0058
N -2.8082 1.1797 0.1632
Re -4.6260 -0.7389 1.6480
Re -9.2333 -2.8064 8.7352
Re -1.5496 1.5622 -1.0274
Re -6.1570 -0.5053 6.0597
Pt -4.1513 0.1043 4.1623
Pt -11.2596 -3.4223 10.6521
Pt -11.5603 -1.4805 8.4432
Pt -6.6522 -1.3548 3.5649
```

Computed properties:
**Energy relative to the lowest polymorph listed for this composition**: 0.211 eV/atom
**SG**: Amm2
**Uncorrected formation energy**: 220 meV per atom
**E_tot**: -104.622 eV for the cell shown